CsLiTl2Pb PBE optimized geometry; density = 5.921 g/cm3; ΔE to the lowest computed polymorph = 31 meV per atom; SG = P4/mmm (123); energy of formation = 13 kJ/mol of formula units; D(E_F) = 0.64 states/eV per atom
1.0
6.191 0.000 0.000
0.000 6.191 0.000
0.000 0.000 5.529
Pb Cs Tl Li
1 1 2 1
Direct
0.000 0.000 0.000
0.500 0.500 0.500
0.000 0.500 0.000
0.500 0.000 0.000
0.000 0.000 0.500